(1)
Material: La8Sn5Sb
Method: DFT, GGA-PBE
State: relaxed

Output
Final energy (eV per atom): -5.38
Symmetry: I-4 (82)
Raw formation energy (eV/f.u.): -11.8
DOS(E_F) (states/eV/atom): 0.59

Lattice parameters (Å, degrees): 8.4807 8.4807 8.4807 109.43 109.55 109.43
Closest atoms and distances in Å follow each position.
Fractional positions:
Sn: 0.8754 0.8760 0.2500  8 La 3.25-3.54
La: 0.1243 0.7499 0.5151  5 Sn 3.25-3.54, 1 Sb 3.53
Sn: 0.3740 0.1240 0.9994  8 La 3.25-3.54
La: 0.1243 0.7487 0.0161  5 Sn 3.25-3.53, 1 Sb 3.26
La: 0.2675 0.2513 0.3756  5 Sn 3.25-3.53, 1 Sb 3.26
Sn: 0.7500 0.6254 0.6260  8 La 3.25-3.54
Sn: 0.0006 0.3746 0.1246  8 La 3.25-3.54
La: 0.4849 0.6092 0.2348  5 Sn 3.25-3.54, 1 Sb 3.53
La: 0.7652 0.2501 0.3744  5 Sn 3.25-3.54, 1 Sb 3.53
La: 0.9839 0.1082 0.7325  5 Sn 3.25-3.53, 1 Sb 3.26
Sn: 0.5000 0.0000 0.5000  8 La 3.26-3.53
La: 0.6256 0.3908 0.8757  5 Sn 3.25-3.54, 1 Sb 3.53
Sb: 0.2500 0.5000 0.7500  8 La 3.26-3.53
La: 0.6244 0.8918 0.8757  5 Sn 3.25-3.53, 1 Sb 3.26



(2)
Material: MgTlRh
Method: DFT, GGA-PBE
State: relaxed

Output
Final energy (eV per atom): -4.02
Symmetry: Ima2 (46)
Formation energy (eV per atom): -0.25
DOS(E_F) (states/eV/atom): 0.38

Lattice parameters (Å, degrees): 5.5206 5.5206 5.5206 105.46 109.12 113.94
Closest atoms and distances in Å follow each position.
Fractional positions:
Rh: 0.5000 0.1227 0.6227  4 Mg 2.76, 4 Tl 2.76, 2 Rh 3.01
Mg: 0.5013 0.1212 0.1225  4 Rh 2.76, 2 Tl 3.01
Tl: 0.9986 0.6240 0.1226  4 Rh 2.76, 2 Mg 3.01
Mg: 0.4987 0.6212 0.6200  4 Rh 2.76, 2 Tl 3.01
Tl: 0.0014 0.1240 0.6254  4 Rh 2.76, 2 Mg 3.01
Rh: 0.0000 0.6227 0.6227  4 Mg 2.76, 4 Tl 2.76, 2 Rh 3.01



(3)
Material: Hg3ClF
Method: DFT, GGA-PBE
State: relaxed

Output
Final energy (eV per atom): -1.56
Symmetry: Pmn2_1 (31)
Energy relative to the lowest polymorph listed for this composition (meV per atom): 0
Raw formation energy (eV/f.u.): -3.2

Lattice parameters (Å, degrees): 6.1552 6.2854 7.6493 89.99 90.00 90.00
Closest atoms and distances in Å follow each position.
Fractional positions:
Hg: 0.2838 0.9755 0.4584  1 Cl 2.48, 1 F 2.51, 1 Hg 2.61
Hg: 0.9741 0.4757 0.0929  1 F 2.13
Hg: 0.6731 0.9757 0.5929  1 F 2.13
Cl: 0.6775 0.4755 0.7555  1 Hg 2.48
Cl: 0.9696 0.9755 0.2555  1 Hg 2.48
F: 0.9970 0.9760 0.6919  1 Hg 2.13
Hg: 0.3635 0.4755 0.9584  1 Cl 2.48, 1 F 2.51, 1 Hg 2.61
Hg: 0.4774 0.9755 0.0052  3 Hg 3.24-3.38, 1 Cl 3.58, 2 F 3.61-3.62
F: 0.6502 0.4760 0.1920  1 Hg 2.13
Hg: 0.1699 0.4755 0.5052  3 Hg 3.24-3.38, 1 Cl 3.58, 2 F 3.61-3.62



(4)
Material: Y3Tm8Sc
Method: DFT, GGA-PBE
State: relaxed

Output
Final energy (eV per atom): -4.38
Symmetry: I4/mmm (139)
Formation energy (eV per atom): 0.75
DOS(E_F) (states/eV/atom): 1.01

Lattice parameters (Å, degrees): 7.5589 7.5589 9.2856 114.02 114.02 90.00
Closest atoms and distances in Å follow each position.
Fractional positions:
Y: 0.2500 0.7500 0.5000  8 Tm 3.31
Y: 0.5000 0.5000 0.0000  8 Tm 3.30
Tm: 0.1228 0.6336 0.7564  1 Sc 3.20, 3 Y 3.30-3.31
Tm: 0.1228 0.1228 0.7564  1 Sc 3.20, 3 Y 3.30-3.31
Tm: 0.3664 0.8772 0.2436  1 Sc 3.20, 3 Y 3.30-3.31
Y: 0.7500 0.2500 0.5000  8 Tm 3.31
Tm: 0.6336 0.6336 0.7564  1 Sc 3.20, 3 Y 3.30-3.31
Tm: 0.8772 0.3664 0.2436  1 Sc 3.20, 3 Y 3.30-3.31
Tm: 0.6336 0.1228 0.7564  1 Sc 3.20, 3 Y 3.30-3.31
Sc: 0.0000 0.0000 0.0000  8 Tm 3.20
Tm: 0.8772 0.8772 0.2436  1 Sc 3.20, 3 Y 3.30-3.31
Tm: 0.3664 0.3664 0.2436  1 Sc 3.20, 3 Y 3.30-3.31



(5)
Material: TlMoPb2
Method: DFT, GGA-PBE
State: relaxed

Output
Final energy (eV per atom): -4.67
Symmetry: P4/mmm (123)
Formation energy (eV per atom): 0.48
Energy relative to the lowest polymorph listed for this composition (meV per atom): 17
DOS(E_F) (states/eV/atom): 0.56

Lattice parameters (Å, degrees): 3.3406 3.3363 9.3560 90.00 90.00 90.00
Closest atoms and distances in Å follow each position.
Fractional positions:
Pb: 0.0000 0.0000 0.5483  4 Mo 3.02, 4 Pb 3.34
Tl: 0.5000 0.5000 0.2500  4 Tl 3.34, 8 Pb 3.66
Pb: 0.0000 0.0000 0.9517  4 Mo 3.02, 4 Pb 3.34
Mo: 0.5000 0.5000 0.7500  8 Pb 3.02, 4 Mo 3.34



(6)
Material: PuTaCdO6
Method: DFT, GGA-PBE
State: relaxed

Output
Final energy (eV per atom): -8.69
Symmetry: P-31c (163)
Raw formation energy (eV/f.u.): -21.3
DOS(E_F) (states/eV/atom): 0.99

Lattice parameters (Å, degrees): 5.5527 5.5527 9.5183 90.00 90.00 120.00
Closest atoms and distances in Å follow each position.
Fractional positions:
O: 0.0177 0.6482 0.8621  1 Ta 2.01, 1 Pu 2.14
Cd: 0.0000 0.0000 0.0000  6 O 2.40
O: 0.3518 0.3695 0.8621  1 Ta 2.01, 1 Pu 2.14
O: 0.6305 0.6482 0.6379  1 Ta 2.01, 1 Pu 2.14
Pu: 0.3333 0.6667 0.2500  6 O 2.14
O: 0.3518 0.9823 0.6379  1 Ta 2.01, 1 Pu 2.14
Cd: 0.0000 0.0000 0.5000  6 O 2.40
O: 0.3695 0.0177 0.1379  1 Ta 2.01, 1 Pu 2.14
O: 0.9823 0.6305 0.3621  1 Ta 2.01, 1 Pu 2.14
O: 0.3695 0.3518 0.3621  1 Ta 2.01, 1 Pu 2.14
O: 0.0177 0.3695 0.6379  1 Ta 2.01, 1 Pu 2.14
O: 0.6305 0.9823 0.8621  1 Ta 2.01, 1 Pu 2.14
O: 0.9823 0.3518 0.1379  1 Ta 2.01, 1 Pu 2.14
Ta: 0.6667 0.3333 0.2500  6 O 2.01
Ta: 0.3333 0.6667 0.7500  6 O 2.01
Pu: 0.6667 0.3333 0.7500  6 O 2.14
O: 0.6482 0.0177 0.3621  1 Ta 2.01, 1 Pu 2.14
O: 0.6482 0.6305 0.1379  1 Ta 2.01, 1 Pu 2.14



(7)
Material: ZrTeBr2
Method: DFT, GGA-PBE
State: relaxed

Output
Final energy (eV per atom): -3.71
Symmetry: Cmmm (65)
Energy relative to the lowest polymorph listed for this composition (meV per atom): 1129
Raw formation energy (eV/f.u.): 0.2
DOS(E_F) (states/eV/atom): 0.65

Lattice parameters (Å, degrees): 5.7275 5.7275 3.3202 90.00 90.00 112.92
Closest atoms and distances in Å follow each position.
Fractional positions:
Br: 0.0000 0.0000 0.0000  4 Br 3.16-3.32, 4 Te 3.31, 4 Zr 3.31
Zr: 0.0000 0.5000 0.5000  2 Te 3.16, 8 Br 3.31, 2 Zr 3.32
Te: 0.5000 0.0000 0.5000  2 Zr 3.16, 8 Br 3.31, 2 Te 3.32
Br: 0.5000 0.5000 0.0000  4 Br 3.16-3.32, 4 Zr 3.31, 4 Te 3.31



(8)
Material: Ni2CI
Method: DFT, GGA-PBE
State: relaxed

Output
Final energy (eV per atom): -4.08
Symmetry: Fm-3m (225)
Energy relative to the lowest polymorph listed for this composition (meV per atom): 1276
Raw formation energy (eV/f.u.): 6.0
DOS(E_F) (states/eV/atom): 0.37

Lattice parameters (Å, degrees): 4.2349 4.2349 4.2349 60.00 60.00 60.00
Closest atoms and distances in Å follow each position.
Fractional positions:
I: 0.5000 0.5000 0.5000  8 Ni 2.59
C: 0.0000 0.0000 0.0000  8 Ni 2.59
Ni: 0.7500 0.7500 0.7500  4 C 2.59, 4 I 2.59
Ni: 0.2500 0.2500 0.2500  4 I 2.59, 4 C 2.59